Entry 1:
The following is a PBE calculation of a geometry-optimized PaCd2Ga structure, from Alexandria.

Cell lengths 11.615, 11.615, 11.615 Å; angles 15.20, 15.20, 15.20 degrees
Positions (direct):
Pa: 0.000 0.000 0.000
Cd: 0.094 0.094 0.094
Cd: 0.906 0.906 0.906
Ga: 0.500 0.500 0.500

Output
* total moment: 0.66 μB per formula unit
* ΔE_f: 0.2582 eV per atom
* distance to the lowest polymorph of the same formula: 0.248 eV/atom

***

Entry 2:
The following is a PBE calculation of a geometry-optimized PaCd2Ga structure, from Alexandria.

Cell lengths 4.342, 4.342, 4.875 Å; angles 90.00, 90.00, 90.00 degrees
Positions (direct):
Pa: 0.000 0.000 0.000
Cd: 0.000 0.500 0.500
Cd: 0.500 0.000 0.500
Ga: 0.500 0.500 0.000

Output
* total moment: 0.30 μB per formula unit
* ΔE_f: 0.0107 eV per atom
* distance to the lowest polymorph of the same formula: 0.000 eV/atom

***

Entry 3:
The following is a PBE calculation of a geometry-optimized Pa4CdGa12 structure, from Alexandria.

Cell lengths 7.569, 7.569, 7.569 Å; angles 109.47, 109.47, 109.47 degrees
Positions (direct):
Pa: 0.000 0.000 0.500
Pa: 0.000 0.500 0.000
Pa: 0.500 0.000 0.000
Pa: 0.500 0.500 0.500
Cd: 0.000 0.000 0.000
Ga: 0.000 0.309 0.309
Ga: 0.000 0.691 0.691
Ga: 0.250 0.500 0.750
Ga: 0.250 0.750 0.500
Ga: 0.309 0.000 0.309
Ga: 0.309 0.309 0.000
Ga: 0.500 0.250 0.750
Ga: 0.500 0.750 0.250
Ga: 0.691 0.000 0.691
Ga: 0.691 0.691 0.000
Ga: 0.750 0.250 0.500
Ga: 0.750 0.500 0.250

Output
* total moment: 1.58 μB per formula unit
* ΔE_f: -0.3119 eV per atom

***

Entry 4:
The following is a PBE calculation of a geometry-optimized PaCdGaPt structure, from Alexandria.

Cell lengths 4.860, 4.860, 4.860 Å; angles 60.00, 60.00, 60.00 degrees
Positions (direct):
Pa: 0.000 0.000 0.000
Cd: 0.500 0.500 0.500
Ga: 0.750 0.750 0.750
Pt: 0.250 0.250 0.250

Output
* total moment: 0.00 μB per formula unit
* ΔE_f: -0.4586 eV per atom